one | A relaxed structure of YScPO2. Source: Alexandria, functional PBE.

Calculated values
spin magnetization: 0.083 μB/atom
theoretical density: 3.9 g/cm³

Cell: 4.056 4.056 5.151 Å, 90.00 90.00 90.00°
Fractional coordinates of all 5 atoms:
P: 0.000 0.000 0.500
Sc: 0.000 0.000 0.000
Y: 0.500 0.500 0.500
O: 0.000 0.500 0.000
O: 0.500 0.000 0.000

two | A relaxed structure of YScPO2. Source: Alexandria, functional PBE.

Calculated values
spin magnetization: 0.114 μB/atom
theoretical density: 3.3 g/cm³

Cell: 4.188 4.188 5.576 Å, 90.00 90.00 90.00°
Fractional coordinates of all 5 atoms:
O: 0.000 0.500 0.000
O: 0.500 0.000 0.000
Y: 0.000 0.000 0.000
P: 0.000 0.000 0.500
Sc: 0.500 0.500 0.500

Ordering by calculated energy gives the sequence one, two, with the first entry being the most stable.

one | A relaxed structure of YScP2O. Source: Alexandria, functional PBE.

Calculated values
spin magnetization: 0.000 μB/atom
theoretical density: 3.5 g/cm³

Cell: 5.047 5.047 3.916 Å, 90.00 90.00 90.00°
Fractional coordinates of all 5 atoms:
P: 0.000 0.500 0.000
P: 0.500 0.000 0.000
Y: 0.500 0.500 0.500
O: 0.000 0.000 0.500
Sc: 0.000 0.000 0.000

two | A relaxed structure of YScP2O. Source: Alexandria, functional PBE.

Calculated values
spin magnetization: 0.063 μB/atom
theoretical density: 3.1 g/cm³

Cell: 5.242 5.242 4.143 Å, 90.00 90.00 90.00°
Fractional coordinates of all 5 atoms:
Y: 0.000 0.000 0.000
P: 0.000 0.500 0.000
P: 0.500 0.000 0.000
O: 0.000 0.000 0.500
Sc: 0.500 0.500 0.500

Ordering by calculated energy gives the sequence one, two, with the first entry being the most stable.

one | A relaxed structure of ZrScPO2. Source: Alexandria, functional PBE.

Calculated values
spin magnetization: 0.000 μB/atom
theoretical density: 4.1 g/cm³

Cell: 3.940 3.940 5.148 Å, 90.00 90.00 90.00°
Fractional coordinates of all 5 atoms:
Sc: 0.000 0.000 0.000
O: 0.000 0.500 0.000
O: 0.500 0.000 0.000
Zr: 0.500 0.500 0.500
P: 0.000 0.000 0.500

two | A relaxed structure of ZrScPO2. Source: Alexandria, functional PBE.

Calculated values
spin magnetization: 0.000 μB/atom
theoretical density: 3.7 g/cm³

Cell: 4.032 4.032 5.430 Å, 90.00 90.00 90.00°
Fractional coordinates of all 5 atoms:
O: 0.500 0.000 0.000
O: 0.000 0.500 0.000
Sc: 0.500 0.500 0.500
Zr: 0.000 0.000 0.000
P: 0.000 0.000 0.500

Ordering by calculated energy gives the sequence two, one, with the first entry being the most stable.

one | A relaxed structure of PSe2O. Source: Alexandria, functional PBE.

Calculated values
spin magnetization: 0.000 μB/atom
theoretical density: 3.2 g/cm³

Cell: 5.055 4.621 9.185 Å, 90.00 100.43 90.00°
Fractional coordinates of all 8 atoms:
Se: 0.490 0.500 0.684
Se: 0.794 0.500 0.521
Se: 0.794 0.000 0.021
Se: 0.490 0.000 0.184
P: 0.463 0.500 0.299
P: 0.463 0.000 0.799
O: 0.185 0.000 0.836
O: 0.185 0.500 0.336

two | A relaxed structure of PSe2O. Source: Alexandria, functional PBE.

Calculated values
spin magnetization: 0.000 μB/atom
theoretical density: 3.3 g/cm³

Cell: 3.611 5.658 5.530 Å, 109.45 91.62 104.14°
Fractional coordinates of all 4 atoms:
Se: 0.856 0.980 0.344
Se: 0.337 0.461 0.322
P: 0.325 0.854 0.557
O: 0.341 0.960 0.843

three | A relaxed structure of PSe2O. Source: Alexandria, functional PBE.

Calculated values
spin magnetization: 0.000 μB/atom
theoretical density: 4.8 g/cm³

Cell: 6.234 6.234 5.731 Å, 57.05 57.05 90.00°
Fractional coordinates of all 8 atoms:
O: 0.500 0.500 0.000
O: 0.250 0.750 0.500
Se: 0.138 0.625 0.250
Se: 0.875 0.862 0.750
Se: 0.375 0.388 0.750
Se: 0.612 0.125 0.250
P: 0.000 0.000 0.000
P: 0.750 0.250 0.500

Ordering by calculated energy gives the sequence one, two, three, with the first entry being the most stable.

one | A relaxed structure of PSe2O. Source: Alexandria, functional PBE.

Calculated values
spin magnetization: 0.076 μB/atom
theoretical density: 3.3 g/cm³

Cell: 3.206 5.469 6.129 Å, 91.49 104.73 89.99°
Fractional coordinates of all 4 atoms:
Se: 0.695 0.723 0.184
Se: 0.407 0.107 0.621
P: 0.874 0.819 0.554
O: 0.948 0.605 0.707

two | A relaxed structure of PSe2O. Source: Alexandria, functional PBE.

Calculated values
spin magnetization: 0.000 μB/atom
theoretical density: 4.4 g/cm³

Cell: 7.287 7.287 7.287 Å, 28.48 28.48 28.48°
Fractional coordinates of all 4 atoms:
Se: 0.092 0.092 0.092
Se: 0.908 0.908 0.908
O: 0.000 0.000 0.000
P: 0.500 0.500 0.500

three | A relaxed structure of PSe2O. Source: Alexandria, functional PBE.

Calculated values
spin magnetization: 0.000 μB/atom
theoretical density: 5.8 g/cm³

Cell: 4.360 4.360 4.360 Å, 60.00 60.00 60.00°
Fractional coordinates of all 4 atoms:
Se: 0.250 0.250 0.250
Se: 0.750 0.750 0.750
O: 0.000 0.000 0.000
P: 0.500 0.500 0.500

four | A relaxed structure of PSe2O. Source: Alexandria, functional PBE.

Calculated values
spin magnetization: 0.000 μB/atom
theoretical density: 5.5 g/cm³

Cell: 8.674 8.674 8.674 Å, 19.29 19.29 19.29°
Fractional coordinates of all 4 atoms:
O: 0.500 0.500 0.500
Se: 0.099 0.099 0.099
Se: 0.901 0.901 0.901
P: 0.000 0.000 0.000

Ordering by calculated energy gives the sequence one, two, four, three, with the first entry being the most stable.

one | A relaxed structure of PSe3O. Source: Alexandria, functional PBE.

Calculated values
spin magnetization: 0.000 μB/atom
theoretical density: 4.5 g/cm³

Cell: 4.723 4.723 4.723 Å, 90.00 90.00 90.00°
Fractional coordinates of all 5 atoms:
O: 0.500 0.500 0.500
P: 0.000 0.000 0.000
Se: 0.000 0.500 0.000
Se: 0.000 0.000 0.500
Se: 0.500 0.000 0.000

two | A relaxed structure of PSe3O. Source: Alexandria, functional PBE.

Calculated values
spin magnetization: 0.000 μB/atom
theoretical density: 5.2 g/cm³

Cell: 4.478 4.478 4.478 Å, 90.00 90.00 90.00°
Fractional coordinates of all 5 atoms:
Se: 0.500 0.000 0.000
Se: 0.000 0.500 0.000
Se: 0.000 0.000 0.500
P: 0.500 0.500 0.500
O: 0.000 0.000 0.000

Ordering by calculated energy gives the sequence two, one, with the first entry being the most stable.